No. 1
Compound: RbGaOs3
Source: Alexandria
Functional: PBE
Structure: optimized geometry

```
data_RbGaOs3
_cell_length_a 4.7472
_cell_length_b 4.7472
_cell_length_c 4.7472
_cell_angle_alpha 90.00
_cell_angle_beta 90.00
_cell_angle_gamma 90.00
_space_group_name_H-M_alt 'P 1'
_space_group_IT_number 1
_space_group_name_Hall 'P 1'
loop_
_atom_site_label
_atom_site_type_symbol
_atom_site_fract_x
_atom_site_fract_y
_atom_site_fract_z
Rb1 Rb 0.0000 0.0000 0.0000
Ga1 Ga 0.5000 0.5000 0.5000
Os1 Os 0.0000 0.5000 0.5000
Os2 Os 0.5000 0.0000 0.5000
Os3 Os 0.5000 0.5000 0.0000
```

## Properties
Energy of formation ... 2.152 eV per atom
VASP energy ... -26.924 eV/cell
Mass density ... 11267 kg/m3
Size of the total moment ... 3.2 μB per formula unit
Polymorph energy (0 for the lowest one) ... 0.00 eV per formula unit
SG ... Pm-3m, No. 221


No. 2
Compound: HfNb2Hg2
Source: Alexandria
Functional: PBE
Structure: optimized geometry

```
data_HfNb2Hg2
_cell_length_a 7.1792
_cell_length_b 7.1792
_cell_length_c 7.1792
_cell_angle_alpha 146.70
_cell_angle_beta 146.70
_cell_angle_gamma 47.80
_space_group_name_H-M_alt 'P 1'
_space_group_IT_number 1
_space_group_name_Hall 'P 1'
loop_
_atom_site_label
_atom_site_type_symbol
_atom_site_fract_x
_atom_site_fract_y
_atom_site_fract_z
Hf1 Hf 0.0000 0.0000 0.0000
Nb1 Nb 0.4086 0.4086 0.0000
Nb2 Nb 0.5914 0.5914 0.0000
Hg1 Hg 0.2500 0.7500 0.5000
Hg2 Hg 0.7500 0.2500 0.5000
```

## Properties
Energy of formation ... 0.498 eV per atom
VASP energy ... -28.208 eV/cell
Mass density ... 11445 kg/m3
Size of the total moment ... 0.0 μB per formula unit
Polymorph energy (0 for the lowest one) ... 0.49 eV per formula unit
SG ... I4/mmm, No. 139


No. 3
Compound: SrPRuAu
Source: Alexandria
Functional: PBE
Structure: optimized geometry

```
data_SrPRuAu
_cell_length_a 3.1439
_cell_length_b 3.1439
_cell_length_c 7.5627
_cell_angle_alpha 90.00
_cell_angle_beta 90.00
_cell_angle_gamma 90.00
_space_group_name_H-M_alt 'P 1'
_space_group_IT_number 1
_space_group_name_Hall 'P 1'
loop_
_atom_site_label
_atom_site_type_symbol
_atom_site_fract_x
_atom_site_fract_y
_atom_site_fract_z
Sr1 Sr 0.0000 0.0000 0.0000
P1 P 0.5000 0.5000 0.7035
Ru1 Ru 0.0000 0.0000 0.5678
Au1 Au 0.5000 0.5000 0.2990
```

## Properties
Energy of formation ... -0.335 eV per atom
VASP energy ... -20.984 eV/cell
Mass density ... 9255 kg/m3
Size of the total moment ... 0.0 μB per formula unit
Polymorph energy (0 for the lowest one) ... 0.35 eV per formula unit
SG ... P4mm, No. 99


No. 4
Compound: BaOs3C
Source: Alexandria
Functional: PBE
Structure: optimized geometry

```
data_BaOs3C
_cell_length_a 4.3305
_cell_length_b 4.3305
_cell_length_c 4.3305
_cell_angle_alpha 90.00
_cell_angle_beta 90.00
_cell_angle_gamma 90.00
_space_group_name_H-M_alt 'P 1'
_space_group_IT_number 1
_space_group_name_Hall 'P 1'
loop_
_atom_site_label
_atom_site_type_symbol
_atom_site_fract_x
_atom_site_fract_y
_atom_site_fract_z
Ba1 Ba 0.0000 0.0000 0.0000
Os1 Os 0.0000 0.5000 0.5000
Os2 Os 0.5000 0.0000 0.5000
Os3 Os 0.5000 0.5000 0.0000
C1 C 0.5000 0.5000 0.5000
```

## Properties
Energy of formation ... 1.141 eV per atom
VASP energy ... -39.133 eV/cell
Mass density ... 14723 kg/m3
Size of the total moment ... 0.0 μB per formula unit
Polymorph energy (0 for the lowest one) ... 0.00 eV per formula unit
SG ... Pm-3m, No. 221


No. 5
Compound: FeReSiW
Source: Alexandria
Functional: PBE
Structure: optimized geometry

```
data_FeReSiW
_cell_length_a 4.2456
_cell_length_b 4.2456
_cell_length_c 4.2456
_cell_angle_alpha 60.00
_cell_angle_beta 60.00
_cell_angle_gamma 60.00
_space_group_name_H-M_alt 'P 1'
_space_group_IT_number 1
_space_group_name_Hall 'P 1'
loop_
_atom_site_label
_atom_site_type_symbol
_atom_site_fract_x
_atom_site_fract_y
_atom_site_fract_z
Fe1 Fe 0.0000 0.0000 0.0000
Re1 Re 0.5000 0.5000 0.5000
Si1 Si 0.7500 0.7500 0.7500
W1 W 0.2500 0.2500 0.2500
```

## Properties
VASP energy ... -39.380 eV/cell
Mass density ... 13931 kg/m3
Size of the total moment ... 0.7 μB per formula unit
ΔE_f (raw) ... -0.09 eV/f.u.
SG ... F-43m, No. 216


No. 6
Compound: LiNb2Fe
Source: Alexandria
Functional: PBE
Structure: optimized geometry

```
data_LiNb2Fe
_cell_length_a 4.3566
_cell_length_b 4.3566
_cell_length_c 4.3566
_cell_angle_alpha 60.00
_cell_angle_beta 60.00
_cell_angle_gamma 60.00
_space_group_name_H-M_alt 'P 1'
_space_group_IT_number 1
_space_group_name_Hall 'P 1'
loop_
_atom_site_label
_atom_site_type_symbol
_atom_site_fract_x
_atom_site_fract_y
_atom_site_fract_z
Li1 Li 0.0000 0.0000 0.0000
Nb1 Nb 0.2500 0.2500 0.2500
Nb2 Nb 0.7500 0.7500 0.7500
Fe1 Fe 0.5000 0.5000 0.5000
```

## Properties
Energy of formation ... 0.227 eV per atom
VASP energy ... -29.607 eV/cell
Mass density ... 7060 kg/m3
Size of the total moment ... 0.0 μB per formula unit
Polymorph energy (0 for the lowest one) ... 0.00 eV per formula unit
SG ... Fm-3m, No. 225


Question: mass density of number 2 (HfNb2Hg2)?
Answer: 11445 kg/m3